{"formula": "GdDyCoOs", "functional": "PBE-GGA", "state": "optimized geometry", "energy_ev_per_atom": -9.341, "lattice": [[0.0000, 3.4017, 3.4017], [3.4017, 0.0000, 3.4017], [3.4017, 3.4017, 0.0000]], "species": ["Gd", "Dy", "Co", "Os"], "frac_coords": [[0.0000, 0.0000, 0.0000], [0.5000, 0.5000, 0.5000], [0.7500, 0.7500, 0.7500], [0.2500, 0.2500, 0.2500]]}


{"formula": "GdDyCoPd", "functional": "PBE-GGA", "state": "optimized geometry", "energy_ev_per_atom": -8.209, "lattice": [[0.0000, 3.4476, 3.4476], [3.4476, 0.0000, 3.4476], [3.4476, 3.4476, 0.0000]], "species": ["Gd", "Dy", "Co", "Pd"], "frac_coords": [[0.0000, 0.0000, 0.0000], [0.5000, 0.5000, 0.5000], [0.2500, 0.2500, 0.2500], [0.7500, 0.7500, 0.7500]]}


{"formula": "GdDyCoPt", "functional": "PBE-GGA", "state": "optimized geometry", "energy_ev_per_atom": -8.594, "lattice": [[0.0000, 3.4444, 3.4444], [3.4444, 0.0000, 3.4444], [3.4444, 3.4444, 0.0000]], "species": ["Gd", "Dy", "Co", "Pt"], "frac_coords": [[0.0000, 0.0000, 0.0000], [0.5000, 0.5000, 0.5000], [0.2500, 0.2500, 0.2500], [0.7500, 0.7500, 0.7500]]}


{"formula": "GdDyZnCo", "functional": "PBE-GGA", "state": "optimized geometry", "energy_ev_per_atom": -6.979, "lattice": [[0.0000, 3.4665, 3.4665], [3.4665, 0.0000, 3.4665], [3.4665, 3.4665, 0.0000]], "species": ["Gd", "Dy", "Zn", "Co"], "frac_coords": [[0.0000, 0.0000, 0.0000], [0.5000, 0.5000, 0.5000], [0.7500, 0.7500, 0.7500], [0.2500, 0.2500, 0.2500]]}


{"formula": "DyCoGe", "functional": "PBE-GGA", "state": "optimized geometry", "energy_ev_per_atom": -6.026, "lattice": [[4.0026, 0.0000, 0.0000], [0.0000, 11.5237, 0.0000], [0.0000, 0.0000, 6.9607]], "species": ["Dy", "Dy", "Dy", "Dy", "Dy", "Dy", "Co", "Co", "Co", "Co", "Co", "Co", "Ge", "Ge", "Ge", "Ge", "Ge", "Ge"], "frac_coords": [[0.2500, 0.1116, 0.0176], [0.2500, 0.2500, 0.5353], [0.2500, 0.3884, 0.0176], [0.7500, 0.6116, 0.9824], [0.7500, 0.7500, 0.4647], [0.7500, 0.8884, 0.9824], [0.2500, 0.5435, 0.6499], [0.2500, 0.7500, 0.1337], [0.2500, 0.9565, 0.6499], [0.7500, 0.0435, 0.3501], [0.7500, 0.2500, 0.8663], [0.7500, 0.4565, 0.3501], [0.2500, 0.5693, 0.3152], [0.2500, 0.7500, 0.7714], [0.2500, 0.9307, 0.3152], [0.7500, 0.0693, 0.6848], [0.7500, 0.2500, 0.2286], [0.7500, 0.4307, 0.6848]]}


{"formula": "DyCo2Ge3", "functional": "PBE-GGA", "state": "optimized geometry", "polymorph_energy_ev_per_atom": 0.000, "lattice": [[7.8423, -1.9588, 0.0000], [7.8423, 1.9588, 0.0000], [-2.3312, 0.0000, 9.2808]], "species": ["Dy", "Dy", "Dy", "Co", "Co", "Co", "Co", "Co", "Co", "Ge", "Ge", "Ge", "Ge", "Ge", "Ge", "Ge", "Ge", "Ge"], "frac_coords": [[0.0000, 0.0000, 0.0000], [0.1494, 0.1494, 0.6963], [0.8506, 0.8506, 0.3037], [0.2070, 0.2070, 0.0818], [0.3566, 0.3566, 0.5639], [0.4963, 0.4963, 0.2372], [0.5037, 0.5037, 0.7628], [0.6434, 0.6434, 0.4361], [0.7930, 0.7930, 0.9182], [0.0525, 0.0525, 0.3519], [0.2282, 0.2282, 0.3756], [0.3568, 0.3568, 0.0801], [0.3601, 0.3601, 0.8184], [0.5000, 0.5000, 0.5000], [0.6399, 0.6399, 0.1816], [0.6432, 0.6432, 0.9199], [0.7718, 0.7718, 0.6244], [0.9475, 0.9475, 0.6481]]}


{"formula": "DyCoGe3", "functional": "PBE-GGA", "state": "optimized geometry", "energy_ev_per_atom": -5.598, "lattice": [[8.4119, 0.0000, 0.0000], [0.0000, 4.0310, 0.0000], [0.0000, 0.0000, 10.3481]], "species": ["Dy", "Dy", "Dy", "Dy", "Co", "Co", "Co", "Co", "Ge", "Ge", "Ge", "Ge", "Ge", "Ge", "Ge", "Ge", "Ge", "Ge", "Ge", "Ge"], "frac_coords": [[0.1983, 0.2500, 0.0379], [0.3017, 0.7500, 0.5379], [0.6983, 0.2500, 0.4621], [0.8017, 0.7500, 0.9621], [0.0810, 0.2500, 0.3455], [0.4190, 0.7500, 0.8455], [0.5810, 0.2500, 0.1545], [0.9190, 0.7500, 0.6545], [0.0531, 0.2500, 0.5817], [0.1145, 0.7500, 0.8293], [0.1850, 0.7500, 0.2490], [0.3150, 0.2500, 0.7490], [0.3855, 0.2500, 0.3293], [0.4469, 0.7500, 0.0817], [0.5531, 0.2500, 0.9183], [0.6145, 0.7500, 0.6707], [0.6850, 0.7500, 0.2510], [0.8150, 0.2500, 0.7510], [0.8855, 0.2500, 0.1707], [0.9469, 0.7500, 0.4183]]}


{"formula": "Dy2Co5Ge4", "functional": "PBE-GGA", "state": "optimized geometry", "energy_ev_per_atom": -6.219, "lattice": [[0.0000, 4.6162, 6.9360], [2.6847, 0.0000, 6.9360], [2.6847, 4.6162, 0.0000]], "species": ["Dy", "Dy", "Co", "Co", "Co", "Co", "Co", "Ge", "Ge", "Ge", "Ge"], "frac_coords": [[0.1291, 0.1291, 0.8709], [0.8709, 0.8709, 0.1291], [0.0000, 0.0000, 0.5000], [0.2500, 0.2500, 0.2500], [0.5000, 0.5000, 0.0000], [0.5000, 0.5000, 0.5000], [0.7500, 0.7500, 0.7500], [0.2130, 0.5260, 0.4740], [0.4740, 0.7870, 0.2130], [0.5260, 0.2130, 0.7870], [0.7870, 0.4740, 0.5260]]}


{"formula": "Dy3CoGe2", "functional": "PBE-GGA", "state": "optimized geometry", "energy_ev_per_atom": -5.752, "lattice": [[11.5366, 0.0000, 0.0000], [0.0000, 4.1306, 0.0000], [0.0000, 0.0000, 11.1407]], "species": ["Dy", "Dy", "Dy", "Dy", "Dy", "Dy", "Dy", "Dy", "Dy", "Dy", "Dy", "Dy", "Co", "Co", "Co", "Co", "Ge", "Ge", "Ge", "Ge", "Ge", "Ge", "Ge", "Ge"], "frac_coords": [[0.0548, 0.2500, 0.1300], [0.1204, 0.7500, 0.5547], [0.2252, 0.2500, 0.7973], [0.2748, 0.7500, 0.2973], [0.3796, 0.2500, 0.0547], [0.4452, 0.7500, 0.6300], [0.5548, 0.2500, 0.3700], [0.6204, 0.7500, 0.9453], [0.7252, 0.2500, 0.7027], [0.7748, 0.7500, 0.2027], [0.8796, 0.2500, 0.4453], [0.9452, 0.7500, 0.8700], [0.1314, 0.2500, 0.3682], [0.3686, 0.7500, 0.8682], [0.6314, 0.2500, 0.1318], [0.8686, 0.7500, 0.6318], [0.0164, 0.7500, 0.3156], [0.1924, 0.7500, 0.9963], [0.3076, 0.2500, 0.4963], [0.4836, 0.2500, 0.8156], [0.5164, 0.7500, 0.1844], [0.6924, 0.7500, 0.5037], [0.8076, 0.2500, 0.0037], [0.9836, 0.2500, 0.6844]]}


{"formula": "DyCo6Ge6", "functional": "PBE-GGA", "state": "optimized geometry", "energy_ev_per_atom": -6.114, "lattice": [[-2.5481, 3.9273, 4.4043], [2.5481, -3.9273, 4.4043], [2.5481, 3.9273, -4.4043]], "species": ["Dy", "Co", "Co", "Co", "Co", "Co", "Co", "Ge", "Ge", "Ge", "Ge", "Ge", "Ge"], "frac_coords": [[0.0000, 0.0000, 0.0000], [0.0000, 0.0000, 0.5000], [0.0000, 0.5000, 0.0000], [0.2525, 0.5000, 0.7525], [0.5000, 0.0000, 0.0000], [0.5000, 0.5000, 0.5000], [0.7475, 0.5000, 0.2475], [0.1692, 0.6692, 0.5000], [0.3367, 0.3367, 0.0000], [0.3449, 0.0000, 0.3449], [0.6551, 0.0000, 0.6551], [0.6633, 0.6633, 0.0000], [0.8308, 0.3308, 0.5000]]}


{"formula": "Dy2Co3Ge5", "functional": "PBE-GGA", "state": "optimized geometry", "polymorph_energy_ev_per_atom": 0.000, "lattice": [[5.5198, -5.9046, 0.0000], [5.5198, 5.9046, 0.0000], [-2.7983, 0.0000, 5.0033]], "species": ["Dy", "Dy", "Dy", "Dy", "Co", "Co", "Co", "Co", "Co", "Co", "Ge", "Ge", "Ge", "Ge", "Ge", "Ge", "Ge", "Ge", "Ge", "Ge"], "frac_coords": [[0.0937, 0.3726, 0.2332], [0.3726, 0.0937, 0.7332], [0.6274, 0.9063, 0.2668], [0.9063, 0.6274, 0.7668], [0.0419, 0.7624, 0.3785], [0.2376, 0.9581, 0.1215], [0.4953, 0.5047, 0.2500], [0.5047, 0.4953, 0.7500], [0.7624, 0.0419, 0.8785], [0.9581, 0.2376, 0.6215], [0.0100, 0.9900, 0.7500], [0.2386, 0.4229, 0.8263], [0.2710, 0.7290, 0.7500], [0.2854, 0.7146, 0.2500], [0.4229, 0.2386, 0.3263], [0.5771, 0.7614, 0.6737], [0.7146, 0.2854, 0.7500], [0.7290, 0.2710, 0.2500], [0.7614, 0.5771, 0.1737], [0.9900, 0.0100, 0.2500]]}


{"formula": "DyCo2Ge3", "functional": "PBE-GGA", "state": "optimized geometry", "polymorph_energy_ev_per_atom": 0.071, "lattice": [[4.7330, -3.7764, 0.0000], [4.7330, 3.7764, 0.0000], [0.0000, 0.0000, 5.3226]], "species": ["Dy", "Dy", "Co", "Co", "Co", "Co", "Ge", "Ge", "Ge", "Ge", "Ge", "Ge"], "frac_coords": [[0.1564, 0.8436, 0.7500], [0.8436, 0.1564, 0.2500], [0.2928, 0.2928, 0.0000], [0.2928, 0.2928, 0.5000], [0.7072, 0.7072, 0.0000], [0.7072, 0.7072, 0.5000], [0.0323, 0.6180, 0.2500], [0.3820, 0.9677, 0.2500], [0.4624, 0.5376, 0.2500], [0.5376, 0.4624, 0.7500], [0.6180, 0.0323, 0.7500], [0.9677, 0.3820, 0.7500]]}


{"formula": "DyCo3Ge3", "functional": "PBE-GGA", "state": "optimized geometry", "polymorph_energy_ev_per_atom": 0.000, "lattice": [[8.1256, 0.0000, 0.0000], [-4.0628, 7.0370, 0.0000], [0.0000, 0.0000, 4.0386]], "species": ["Dy", "Dy", "Co", "Co", "Co", "Co", "Co", "Co", "Ge", "Ge", "Ge", "Ge", "Ge", "Ge"], "frac_coords": [[0.3333, 0.6667, 0.2500], [0.6667, 0.3333, 0.7500], [0.0620, 0.2060, 0.2500], [0.1440, 0.9380, 0.2500], [0.2060, 0.1440, 0.7500], [0.7940, 0.8560, 0.2500], [0.8560, 0.0620, 0.7500], [0.9380, 0.7940, 0.7500], [0.1022, 0.3799, 0.7500], [0.2776, 0.8978, 0.7500], [0.3799, 0.2776, 0.2500], [0.6201, 0.7224, 0.7500], [0.7224, 0.1022, 0.2500], [0.8978, 0.6201, 0.2500]]}


{"formula": "Dy5Co2Ge", "functional": "PBE-GGA", "state": "optimized geometry", "energy_ev_per_atom": -5.592, "lattice": [[-3.7433, 3.7433, 6.5232], [3.7433, -3.7433, 6.5232], [3.7433, 3.7433, -6.5232]], "species": ["Dy", "Dy", "Dy", "Dy", "Dy", "Dy", "Dy", "Dy", "Dy", "Dy", "Co", "Co", "Co", "Co", "Ge", "Ge"], "frac_coords": [[0.0000, 0.0000, 0.0000], [0.0255, 0.5255, 0.8280], [0.1975, 0.0255, 0.5000], [0.3025, 0.8025, 0.8280], [0.4745, 0.3025, 0.5000], [0.5000, 0.5000, 0.0000], [0.5255, 0.6975, 0.5000], [0.6975, 0.1975, 0.1720], [0.8025, 0.9745, 0.5000], [0.9745, 0.4745, 0.1720], [0.1277, 0.3723, 0.5000], [0.3723, 0.8723, 0.2446], [0.6277, 0.1277, 0.7554], [0.8723, 0.6277, 0.5000], [0.2500, 0.2500, 0.0000], [0.7500, 0.7500, 0.0000]]}


{"formula": "DyCo12Ge6", "functional": "PBE-GGA", "state": "optimized geometry", "energy_ev_per_atom": -6.244, "lattice": [[5.2946, 3.0568, 2.6557], [-5.2946, 3.0568, 2.6557], [0.0000, -6.1137, 2.6557]], "species": ["Dy", "Co", "Co", "Co", "Co", "Co", "Co", "Co", "Co", "Co", "Co", "Co", "Co", "Ge", "Ge", "Ge", "Ge", "Ge", "Ge"], "frac_coords": [[0.0000, 0.0000, 0.0000], [0.1235, 0.5000, 0.8765], [0.1235, 0.8765, 0.5000], [0.1812, 0.4278, 0.4278], [0.4278, 0.1812, 0.4278], [0.4278, 0.4278, 0.1812], [0.5000, 0.1235, 0.8765], [0.5000, 0.8765, 0.1235], [0.5722, 0.5722, 0.8188], [0.5722, 0.8188, 0.5722], [0.8188, 0.5722, 0.5722], [0.8765, 0.1235, 0.5000], [0.8765, 0.5000, 0.1235], [0.2487, 0.2487, 0.7052], [0.2487, 0.7052, 0.2487], [0.2948, 0.7513, 0.7513], [0.7052, 0.2487, 0.2487], [0.7513, 0.2948, 0.7513], [0.7513, 0.7513, 0.2948]]}


{"formula": "DyCoGe4", "functional": "PBE-GGA", "state": "optimized geometry", "energy_ev_per_atom": -5.064, "lattice": [[4.9941, 0.0000, 0.0000], [0.0000, 4.9941, 0.0000], [0.0000, 0.0000, 9.8421]], "species": ["Dy", "Dy", "Co", "Co", "Ge", "Ge", "Ge", "Ge", "Ge", "Ge", "Ge", "Ge"], "frac_coords": [[0.2500, 0.7500, 0.2500], [0.7500, 0.2500, 0.7500], [0.2500, 0.7500, 0.7500], [0.7500, 0.2500, 0.2500], [0.0044, 0.2500, 0.0581], [0.2500, 0.0044, 0.5581], [0.2500, 0.4956, 0.5581], [0.4956, 0.2500, 0.0581], [0.5044, 0.7500, 0.9419], [0.7500, 0.5044, 0.4419], [0.7500, 0.9956, 0.4419], [0.9956, 0.7500, 0.9419]]}


{"formula": "DyCo4Ge2", "functional": "PBE-GGA", "state": "optimized geometry", "energy_ev_per_atom": -6.426, "lattice": [[7.2630, 0.0000, 0.0000], [0.0000, 7.2630, 0.0000], [0.0000, 0.0000, 3.6898]], "species": ["Dy", "Dy", "Co", "Co", "Co", "Co", "Co", "Co", "Co", "Co", "Ge", "Ge", "Ge", "Ge"], "frac_coords": [[0.0000, 0.0000, 0.0000], [0.5000, 0.5000, 0.5000], [0.0801, 0.3533, 0.5000], [0.1467, 0.5801, 0.0000], [0.3533, 0.0801, 0.5000], [0.4199, 0.8533, 0.0000], [0.5801, 0.1467, 0.0000], [0.6467, 0.9199, 0.5000], [0.8533, 0.4199, 0.0000], [0.9199, 0.6467, 0.5000], [0.2233, 0.7767, 0.5000], [0.2767, 0.2767, 0.0000], [0.7233, 0.7233, 0.0000], [0.7767, 0.2233, 0.5000]]}


{"formula": "Dy2CoGe", "functional": "PBE-GGA", "state": "optimized geometry", "energy_ev_per_atom": -5.771, "lattice": [[5.7796, 0.0000, 0.0000], [0.0000, 3.9936, 0.0000], [-2.8889, 0.0000, 7.4156]], "species": ["Dy", "Dy", "Dy", "Dy", "Co", "Co", "Ge", "Ge"], "frac_coords": [[0.1856, 0.2500, 0.4080], [0.2725, 0.7500, 0.0551], [0.7275, 0.2500, 0.9449], [0.8144, 0.7500, 0.5920], [0.1492, 0.2500, 0.7840], [0.8508, 0.7500, 0.2160], [0.3637, 0.7500, 0.7082], [0.6363, 0.2500, 0.2918]]}


{"formula": "Dy4CoGe3", "functional": "PBE-GGA", "state": "optimized geometry", "energy_ev_per_atom": -5.608, "lattice": [[3.9716, 0.0000, 0.0000], [0.0000, 4.1837, 0.0000], [0.0000, 0.0000, 10.6603]], "species": ["Dy", "Dy", "Dy", "Dy", "Co", "Ge", "Ge", "Ge"], "frac_coords": [[0.0000, 0.0000, 0.0000], [0.0000, 0.5000, 0.4814], [0.5000, 0.0000, 0.7069], [0.5000, 0.5000, 0.2141], [0.0000, 0.0000, 0.2767], [0.0000, 0.5000, 0.7648], [0.5000, 0.0000, 0.4219], [0.5000, 0.5000, 0.9290]]}


{"formula": "DyCoGe", "functional": "PBE-GGA", "state": "optimized geometry", "energy_ev_per_atom": -6.022, "lattice": [[4.1263, 0.0000, 0.0000], [-2.0632, 3.5735, 0.0000], [0.0000, 0.0000, 3.7401]], "species": ["Dy", "Co", "Ge"], "frac_coords": [[0.0000, 0.0000, 0.0000], [0.3333, 0.6667, 0.5000], [0.6667, 0.3333, 0.5000]]}